No. 1
Compound: TlGaOs3
Source: the Alexandria database
Functional: PBE-GGA
Structure: relaxed

Lattice parameters (Å, degrees): 4.9911 4.9911 4.9911 90.00 90.00 90.00
With the nearest neighbours (Å) after each atom.
Positions (direct):
Os  0.0000  0.0000  0.5000  2 Tl 2.50
Os  0.0000  0.5000  0.0000  2 Tl 2.50
Os  0.5000  0.0000  0.0000  2 Tl 2.50
Ga  0.5000  0.5000  0.5000  12 Os 3.53
Tl  0.0000  0.0000  0.0000  6 Os 2.50

Calculated formation energy, eV/f.u.: 15.6
Energy relative to the lowest polymorph listed for this composition, meV per atom: 1301

---

No. 2
Compound: CaTcAs2Br
Source: the Alexandria database
Functional: PBE-GGA
Structure: relaxed

Lattice parameters (Å, degrees): 5.4455 5.4455 5.3151 90.00 90.00 90.00
With the nearest neighbours (Å) after each atom.
Positions (direct):
Tc  0.5000  0.5000  0.5000  8 As 3.80, 4 Br 3.85
Ca  0.0000  0.0000  0.0000  2 Br 2.66, 4 As 2.72
As  0.0000  0.5000  0.0000  2 Ca 2.72
As  0.5000  0.0000  0.0000  2 Ca 2.72
Br  0.0000  0.0000  0.5000  2 Ca 2.66

Formation energy (no corrections), eV per atom: 0.98
Energy relative to the lowest polymorph listed for this composition, meV per atom: 1224

---

No. 3
Compound: CePbN
Source: the Alexandria database
Functional: PBE-GGA
Structure: relaxed

Lattice parameters (Å, degrees): 3.4161 3.4161 6.6409 104.90 104.90 90.00
With the nearest neighbours (Å) after each atom.
Positions (direct):
Pb  0.0274  0.0274  0.0548  1 N 2.54
Ce  0.7400  0.7400  0.4800  4 N 2.42
N  0.2326  0.2326  0.4652  4 Ce 2.42, 1 Pb 2.54

Formation energy (no corrections), eV per atom: -0.65
Energy relative to the lowest polymorph listed for this composition, meV per atom: 367

---

No. 4
Compound: Tb3Sm5Y
Source: the Alexandria database
Functional: PBE-GGA
Structure: relaxed

Lattice parameters (Å, degrees): 6.7677 8.8751 11.5756 108.39 90.00 112.41
With the nearest neighbours (Å) after each atom.
Positions (direct):
Y  0.7644  0.0000  0.7500  1 Sm 3.05, 2 Tb 3.30
Y  0.2356  0.0000  0.2500  1 Sm 3.05, 2 Tb 3.30
Sm  0.7283  0.6532  0.1480  2 Sm 3.05-3.41, 2 Tb 3.34
Sm  0.6095  0.2190  0.5488  4 Sm 3.38-3.62, 5 Tb 3.51-3.78, 1 Y 3.76
Sm  0.6095  0.2190  0.0488  4 Sm 3.38-3.62, 5 Tb 3.51-3.78, 1 Y 3.76
Sm  0.2717  0.3468  0.8520  2 Sm 3.05-3.41, 2 Tb 3.34
Sm  0.3905  0.7810  0.9512  4 Sm 3.38-3.62, 5 Tb 3.51-3.78, 1 Y 3.76
Sm  0.0751  0.3468  0.3520  2 Sm 3.05-3.41, 2 Tb 3.34
Sm  0.6858  0.0000  0.2500  1 Y 3.05, 2 Sm 3.05
Sm  0.3142  0.0000  0.7500  1 Y 3.05, 2 Sm 3.05
Sm  0.3905  0.7810  0.4512  4 Sm 3.38-3.62, 5 Tb 3.51-3.78, 1 Y 3.76
Sm  0.9249  0.6532  0.6480  2 Sm 3.05-3.41, 2 Tb 3.34
Tb  0.0000  0.0000  0.0000  2 Y 3.30, 2 Sm 3.59
Tb  0.3650  0.5215  0.6304  7 Sm 3.34-3.66, 1 Tb 3.52
Tb  0.6350  0.4785  0.3696  7 Sm 3.34-3.66, 1 Tb 3.52
Tb  0.0000  0.0000  0.5000  2 Y 3.30, 2 Sm 3.59
Tb  0.8435  0.4785  0.8696  7 Sm 3.34-3.66, 1 Tb 3.52
Tb  0.1565  0.5215  0.1304  7 Sm 3.34-3.66, 1 Tb 3.52

Calculated formation energy, eV/f.u.: 1.5
Energy relative to the lowest polymorph listed for this composition, meV per atom: 0